1.
DFT (GGA-PBE) results for Tb5Pr4Al after structural relaxation.

The density of states at the Fermi level comes out at 13.33 states/eV per cell. For the energy above the most stable polymorph in this dataset, the calculation gives 0.1313 eV per atom. For the energy relative to the elements, the calculation gives 0.0693 eV/atom.

a b c (Å): 5.7674 8.1580 8.1580
angles (deg): 82.82 69.30 69.30
With the nearest neighbours (Å) after each atom.
Atoms (fractional coordinates):
Pr1 0.1479 0.3096 0.3095  7 Tb 3.44-3.78, 1 Al 3.73
Tb1 0.6533 0.0000 0.0000  2 Al 2.79-2.98
Pr2 0.4575 0.3095 0.6904  7 Tb 3.44-3.78, 1 Al 3.73
Pr3 0.7670 0.6904 0.6905  7 Tb 3.44-3.78, 1 Al 3.73
Tb2 0.7829 0.0001 0.3631  1 Al 3.01, 1 Tb 3.30
Tb3 0.1459 0.6369 0.0001  1 Al 3.01, 1 Tb 3.30
Tb4 0.1460 0.9999 0.6369  1 Al 3.01, 1 Tb 3.30
Al1 0.1693 0.0000 0.0000  6 Tb 2.79-3.01
Pr4 0.4575 0.6905 0.3096  7 Tb 3.44-3.78, 1 Al 3.73
Tb5 0.7829 0.3631 0.9999  1 Al 3.01, 1 Tb 3.30

=====

2.
DFT (GGA-PBE) results for Cs3Sm2TmO6 after structural relaxation.

The density of states at the Fermi level comes out at 0.00 states/eV per cell. The calculation puts the formation energy from raw total energies at -30.99 eV/f.u.

a b c (Å): 6.2404 6.2404 7.2151
angles (deg): 98.28 98.28 120.00
With the nearest neighbours (Å) after each atom.
Atoms (fractional coordinates):
O1 0.3779 0.0552 0.1655  1 Tm 2.32, 2 Sm 2.40
O2 0.0552 0.3779 0.1655  1 Tm 2.32, 2 Sm 2.40
Sm1 0.6667 0.3333 0.0000  6 O 2.40-2.41
O3 0.6221 0.9448 0.8345  1 Tm 2.32, 2 Sm 2.40
Sm2 0.3333 0.6667 0.0000  6 O 2.40-2.41
O4 0.9448 0.6221 0.8345  1 Tm 2.32, 2 Sm 2.40
O5 0.7325 0.7325 0.1661  1 Tm 2.32, 2 Sm 2.41
Cs1 0.1660 0.8340 0.5000  6 O 3.08-3.16
O6 0.2675 0.2675 0.8339  1 Tm 2.32, 2 Sm 2.41
Cs2 0.8340 0.1660 0.5000  6 O 3.08-3.16
Tm1 0.0000 0.0000 0.0000  6 O 2.32
Cs3 0.5000 0.5000 0.5000  6 O 3.09-3.15